No. 1
NdSiH2O4 after structural relaxation. Source: OQMD via LeMat-Bulk, functional PBE.

Cell lengths 6.2608, 6.2608, 6.2608 Å; angles 116.41, 116.41, 96.35 degrees
Sites, in units of the cell vectors:
Nd 0.3750 0.6250 0.7500
Nd 0.6250 0.3750 0.2500
Si 0.1250 0.8750 0.2500
Si 0.8750 0.1250 0.7500
H 0.1004 0.3504 0.7500
H 0.3504 0.1004 0.2500
H 0.6496 0.8996 0.7500
H 0.8996 0.6496 0.2500
O 0.1718 0.7392 0.4326
O 0.1934 0.2608 0.9326
O 0.2608 0.1934 0.4326
O 0.2608 0.8282 0.0674
O 0.7392 0.1718 0.9326
O 0.7392 0.8066 0.5674
O 0.8066 0.7392 0.0674
O 0.8282 0.2608 0.5674

The polymorph energy (0 for the lowest one) is 401.7 meV per atom. The energy is -99.5 eV per cell. The space-group type is I4_1/amd, No. 141.


No. 2
NdSiHO4 after structural relaxation. Source: OQMD via LeMat-Bulk, functional PBE.

Cell lengths 13.2257, 15.9440, 4.4143 Å; angles 90.00, 90.00, 90.00 degrees
Sites, in units of the cell vectors:
Nd 0.0760 0.0941 0.1746
Nd 0.0760 0.4059 0.1746
Nd 0.1070 0.7500 0.3127
Nd 0.3930 0.2500 0.8127
Nd 0.4240 0.5941 0.6746
Nd 0.4240 0.9059 0.6746
Nd 0.5760 0.0941 0.3254
Nd 0.5760 0.4059 0.3254
Nd 0.6070 0.7500 0.1873
Nd 0.8930 0.2500 0.6873
Nd 0.9240 0.5941 0.8254
Nd 0.9240 0.9059 0.8254
Si 0.1253 0.2500 0.7444
Si 0.1554 0.5856 0.7214
Si 0.1554 0.9144 0.7214
Si 0.3446 0.0856 0.2214
Si 0.3446 0.4144 0.2214
Si 0.3747 0.7500 0.2444
Si 0.6253 0.2500 0.7556
Si 0.6554 0.5856 0.7786
Si 0.6554 0.9144 0.7786
Si 0.8446 0.0856 0.2786
Si 0.8446 0.4144 0.2786
Si 0.8747 0.7500 0.2556
H 0.2131 0.2500 0.3401
H 0.2382 0.5855 0.1523
H 0.2382 0.9145 0.1523
H 0.2618 0.0855 0.6523
H 0.2618 0.4145 0.6523
H 0.2869 0.7500 0.8401
H 0.7131 0.2500 0.1599
H 0.7382 0.5855 0.3477
H 0.7382 0.9145 0.3477
H 0.7618 0.0855 0.8477
H 0.7618 0.4145 0.8477
H 0.7869 0.7500 0.6599
O 0.0577 0.1665 0.6708
O 0.0577 0.3335 0.6708
O 0.0752 0.5072 0.7560
O 0.0752 0.9928 0.7560
O 0.0857 0.6659 0.8329
O 0.0857 0.8341 0.8329
O 0.1407 0.2500 0.1086
O 0.1927 0.6145 0.3882
O 0.1927 0.8855 0.3882
O 0.2342 0.2500 0.5679
O 0.2397 0.0686 0.4155
O 0.2397 0.4314 0.4155
O 0.2603 0.5686 0.9155
O 0.2603 0.9314 0.9155
O 0.2658 0.7500 0.0679
O 0.3073 0.1145 0.8882
O 0.3073 0.3855 0.8882
O 0.3593 0.7500 0.6086
O 0.4143 0.1659 0.3329
O 0.4143 0.3341 0.3329
O 0.4248 0.0072 0.2560
O 0.4248 0.4928 0.2560
O 0.4423 0.6665 0.1708
O 0.4423 0.8335 0.1708
O 0.5577 0.1665 0.8292
O 0.5577 0.3335 0.8292
O 0.5752 0.5072 0.7440
O 0.5752 0.9928 0.7440
O 0.5857 0.6659 0.6671
O 0.5857 0.8341 0.6671
O 0.6407 0.2500 0.3914
O 0.6927 0.6145 0.1118
O 0.6927 0.8855 0.1118
O 0.7342 0.2500 0.9321
O 0.7397 0.0686 0.0845
O 0.7397 0.4314 0.0845
O 0.7603 0.5686 0.5845
O 0.7603 0.9314 0.5845
O 0.7658 0.7500 0.4321
O 0.8073 0.1145 0.6118
O 0.8073 0.3855 0.6118
O 0.8593 0.7500 0.8914
O 0.9143 0.1659 0.1671
O 0.9143 0.3341 0.1671
O 0.9248 0.0072 0.2440
O 0.9248 0.4928 0.2440
O 0.9423 0.6665 0.3292
O 0.9423 0.8335 0.3292

The polymorph energy (0 for the lowest one) is 52.7 meV per atom. The energy is -622.1 eV per cell. The space-group type is Pnma, No. 62.


No. 3
NdSiHO4 after structural relaxation. Source: OQMD via LeMat-Bulk, functional PBE.

Cell lengths 9.9461, 7.1945, 4.5116 Å; angles 90.00, 90.00, 90.00 degrees
Sites, in units of the cell vectors:
Nd 0.0956 0.2500 0.1492
Nd 0.4044 0.7500 0.6492
Nd 0.5956 0.2500 0.3508
Nd 0.9044 0.7500 0.8508
Si 0.1447 0.7500 0.3466
Si 0.3553 0.2500 0.8466
Si 0.6447 0.7500 0.1534
Si 0.8553 0.2500 0.6534
H 0.0000 0.0000 0.5000
H 0.0000 0.5000 0.5000
H 0.5000 0.0000 0.0000
H 0.5000 0.5000 0.0000
O 0.0477 0.5670 0.2709
O 0.0477 0.9330 0.2709
O 0.1600 0.7500 0.7046
O 0.2060 0.2500 0.7040
O 0.2940 0.7500 0.2040
O 0.3400 0.2500 0.2046
O 0.4523 0.0670 0.7709
O 0.4523 0.4330 0.7709
O 0.5477 0.5670 0.2291
O 0.5477 0.9330 0.2291
O 0.6600 0.7500 0.7954
O 0.7060 0.2500 0.7960
O 0.7940 0.7500 0.2960
O 0.8400 0.2500 0.2954
O 0.9523 0.0670 0.7291
O 0.9523 0.4330 0.7291

The polymorph energy (0 for the lowest one) is 158.8 meV per atom. The energy is -204.4 eV per cell. The space-group type is Pnma, No. 62.


No. 4
NdSiH2O4 after structural relaxation. Source: OQMD via LeMat-Bulk, functional PBE.

Cell lengths 4.9392, 5.8019, 12.6114 Å; angles 90.00, 103.32, 90.00 degrees
Sites, in units of the cell vectors:
Nd 0.1110 0.2306 0.3429
Nd 0.1110 0.2694 0.8429
Nd 0.8890 0.7306 0.1571
Nd 0.8890 0.7694 0.6571
Si 0.2495 0.2413 0.1001
Si 0.2495 0.2587 0.6001
Si 0.7505 0.7413 0.3999
Si 0.7505 0.7587 0.8999
H 0.2703 0.7475 0.4758
H 0.2703 0.7525 0.9758
H 0.4985 0.5118 0.7507
H 0.4985 0.9882 0.2507
H 0.5015 0.0118 0.7493
H 0.5015 0.4882 0.2493
H 0.7297 0.2475 0.0242
H 0.7297 0.2525 0.5242
O 0.0580 0.7438 0.9848
O 0.0580 0.7562 0.4848
O 0.2721 0.0178 0.1843
O 0.2721 0.4822 0.6843
O 0.2901 0.0366 0.6880
O 0.2901 0.4634 0.1880
O 0.4464 0.2465 0.0142
O 0.4464 0.2535 0.5142
O 0.5536 0.7465 0.4858
O 0.5536 0.7535 0.9858
O 0.7099 0.5366 0.8120
O 0.7099 0.9634 0.3120
O 0.7279 0.5178 0.3157
O 0.7279 0.9822 0.8157
O 0.9420 0.2438 0.5152
O 0.9420 0.2562 0.0152

The polymorph energy (0 for the lowest one) is 56.3 meV per atom. The energy is -210.1 eV per cell. The space-group type is P2_1/c, No. 14.


No. 5
TbNdH2O4 after structural relaxation. Source: OQMD via LeMat-Bulk, functional PBE.

Cell lengths 4.3516, 3.7014, 6.0996 Å; angles 90.00, 109.02, 90.00 degrees
Sites, in units of the cell vectors:
Tb 0.0000 0.0000 0.0000
Nd 0.3294 0.5000 0.6156
H 0.6434 0.0000 0.3688
H 0.6682 0.5000 0.2034
O 0.4161 0.0000 0.3612
O 0.4352 0.0000 0.8659
O 0.9026 0.5000 0.2370
O 0.9045 0.5000 0.7690

The energy is -56.7 eV per cell. The space-group type is Pm, No. 6.


No. 6
NdYH2O4 after structural relaxation. Source: OQMD via LeMat-Bulk, functional PBE.

Cell lengths 4.3624, 3.6881, 6.0870 Å; angles 90.00, 109.30, 90.00 degrees
Sites, in units of the cell vectors:
Nd 0.0000 0.0000 0.0000
Y 0.6724 0.5000 0.3844
H 0.3202 0.5000 0.7603
H 0.3403 0.0000 0.5860
O 0.0915 0.5000 0.7463
O 0.1083 0.5000 0.2534
O 0.5747 0.0000 0.1513
O 0.5745 0.0000 0.6204

The energy is -58.4 eV per cell. The space-group type is Pm, No. 6.


No. 7
NdH3Pd after structural relaxation. Source: OQMD via LeMat-Bulk, functional PBE.

Cell lengths 6.2487, 6.2487, 4.9369 Å; angles 93.36, 93.36, 36.26 degrees
Sites, in units of the cell vectors:
Nd 0.0000 0.0000 0.0000
Nd 0.7312 0.7312 0.5032
H 0.1629 0.1629 0.7391
H 0.1732 0.1732 0.2695
H 0.3780 0.3780 0.7701
H 0.5608 0.5608 0.2300
H 0.7864 0.7864 0.0201
H 0.9469 0.9469 0.4855
Pd 0.2750 0.2750 0.0107
Pd 0.4466 0.4466 0.4662

The energy is -45.3 eV per cell. The space-group type is Cm, No. 8.


No. 8
NdH12Pt4 after structural relaxation. Source: OQMD via LeMat-Bulk, functional PBE.

Cell lengths 6.1280, 6.1280, 6.1280 Å; angles 109.47, 109.47, 109.47 degrees
Sites, in units of the cell vectors:
Nd 0.0000 0.0000 0.0000
H 0.0039 0.7449 0.2590
H 0.2551 0.2590 0.5142
H 0.2551 0.7410 0.9961
H 0.2590 0.0039 0.7449
H 0.2590 0.5142 0.2551
H 0.4858 0.7449 0.7410
H 0.5142 0.2551 0.2590
H 0.7410 0.4858 0.7449
H 0.7410 0.9961 0.2551
H 0.7449 0.2590 0.0039
H 0.7449 0.7410 0.4858
H 0.9961 0.2551 0.7410
Pt 0.0000 0.0000 0.5000
Pt 0.0000 0.5000 0.0000
Pt 0.5000 0.0000 0.0000
Pt 0.5000 0.5000 0.5000

The energy is -73.1 eV per cell. The space-group type is Im-3, No. 204.


No. 9
RbNd2HS4 after structural relaxation. Source: OQMD via LeMat-Bulk, functional PBE.

Cell lengths 7.4078, 7.4078, 14.6852 Å; angles 90.00, 90.00, 149.49 degrees
Sites, in units of the cell vectors:
Rb 0.1228 0.8772 0.7500
Rb 0.8772 0.1228 0.2500
Nd 0.3634 0.6366 0.5568
Nd 0.3634 0.6366 0.9432
Nd 0.6366 0.3634 0.0568
Nd 0.6366 0.3634 0.4432
H 0.0901 0.9099 0.2500
H 0.9099 0.0901 0.7500
S 0.0000 0.0000 0.0000
S 0.0000 0.0000 0.5000
S 0.2630 0.7370 0.1062
S 0.2630 0.7370 0.3938
S 0.4254 0.5746 0.7500
S 0.5746 0.4254 0.2500
S 0.7370 0.2630 0.6062
S 0.7370 0.2630 0.8938

The energy is -83.1 eV per cell. The space-group type is Cmcm, No. 63.


No. 10
NdScH4 after structural relaxation. Source: OQMD via LeMat-Bulk, functional PBE.

Cell lengths 3.5605, 3.5605, 5.2309 Å; angles 90.00, 90.00, 90.00 degrees
Sites, in units of the cell vectors:
Nd 0.0000 0.0000 0.0000
Sc 0.5000 0.5000 0.5000
H 0.0000 0.5000 0.2866
H 0.0000 0.5000 0.7134
H 0.5000 0.0000 0.2866
H 0.5000 0.0000 0.7134

The energy is -28.3 eV per cell. The space-group type is P4/mmm, No. 123.


No. 11
NdSiH after structural relaxation. Source: OQMD via LeMat-Bulk, functional PBE.

Cell lengths 6.3629, 6.3629, 3.9475 Å; angles 90.00, 90.00, 141.62 degrees
Sites, in units of the cell vectors:
Nd 0.1454 0.8546 0.7500
Nd 0.8546 0.1454 0.2500
Si 0.4434 0.5566 0.7500
Si 0.5566 0.4434 0.2500
H 0.2569 0.7431 0.2500
H 0.7431 0.2569 0.7500

The energy is -31.3 eV per cell. The space-group type is Cmcm, No. 63.


No. 12
NdSmH4 after structural relaxation. Source: OQMD via LeMat-Bulk, functional PBE.

Cell lengths 3.8176, 3.8176, 5.4062 Å; angles 90.00, 90.00, 90.00 degrees
Sites, in units of the cell vectors:
Nd 0.0000 0.0000 0.0000
Sm 0.5000 0.5000 0.5000
H 0.0000 0.5000 0.2558
H 0.0000 0.5000 0.7442
H 0.5000 0.0000 0.2558
H 0.5000 0.0000 0.7442

The energy is -26.8 eV per cell. The space-group type is P4/mmm, No. 123.